# 1
{"formula": "BaSc2Au", "functional": "GGA-PBE", "state": "relaxed", "lattice_angstrom": [[5.108, 0.000, 0.000], [0.000, 5.108, 0.000], [0.000, 0.000, 3.859]], "species": ["Ba", "Sc", "Sc", "Au"], "fractional_positions": [[0.000, 0.000, 0.000], [0.000, 0.500, 0.500], [0.500, 0.000, 0.500], [0.500, 0.500, 0.000]], "formation_energy_mev_per_atom": 123, "magmom_total_mub_per_cell": 0.00}

# 2
{"formula": "BaSc2Au", "functional": "GGA-PBE", "state": "relaxed", "lattice_angstrom": [[-2.858, 2.858, 9.291], [2.858, -2.858, 9.291], [2.858, 2.858, -9.291]], "species": ["Ba", "Ba", "Sc", "Sc", "Sc", "Sc", "Au", "Au"], "fractional_positions": [[0.375, 0.625, 0.750], [0.625, 0.375, 0.250], [0.000, 0.000, 0.000], [0.000, 0.000, 0.500], [0.000, 0.500, 0.000], [0.500, 0.000, 0.500], [0.125, 0.875, 0.250], [0.875, 0.125, 0.750]], "formation_energy_mev_per_atom": 235, "magmom_total_mub_per_cell": 0.00}

# 3
{"formula": "Ba2ScAu", "functional": "GGA-PBE", "state": "relaxed", "lattice_angstrom": [[-6.029, 6.029, 2.646], [6.029, -6.029, 2.646], [6.029, 6.029, -2.646]], "species": ["Ba", "Ba", "Ba", "Ba", "Sc", "Sc", "Au", "Au"], "fractional_positions": [[0.375, 0.028, 0.153], [0.778, 0.625, 0.653], [0.875, 0.222, 0.847], [0.972, 0.125, 0.347], [0.250, 0.750, 0.500], [0.500, 0.500, 0.000], [0.000, 0.000, 0.000], [0.750, 0.250, 0.500]], "formation_energy_mev_per_atom": -32, "magmom_total_mub_per_cell": 1.81}

# 4
{"formula": "BaScAu2", "functional": "GGA-PBE", "state": "relaxed", "lattice_angstrom": [[-1.812, 2.598, 5.494], [1.812, -2.598, 5.494], [1.812, 2.598, -5.494]], "species": ["Ba", "Sc", "Au", "Au"], "fractional_positions": [[0.000, 0.000, 0.000], [0.294, 0.794, 0.500], [0.506, 0.506, 0.000], [0.734, 0.234, 0.500]], "formation_energy_mev_per_atom": -333, "magmom_total_mub_per_cell": 0.00}

# 5
{"formula": "BaSc2Au", "functional": "GGA-PBE", "state": "relaxed", "lattice_angstrom": [[1.809, 1.044, 10.756], [-1.809, 1.044, 10.756], [0.000, -2.089, 10.756]], "species": ["Ba", "Sc", "Sc", "Au"], "fractional_positions": [[0.000, 0.000, 0.000], [0.110, 0.110, 0.110], [0.890, 0.890, 0.890], [0.500, 0.500, 0.500]], "formation_energy_mev_per_atom": 24, "magmom_total_mub_per_cell": 0.00}

# 6
{"formula": "BaSc2Au", "functional": "GGA-PBE", "state": "relaxed", "lattice_angstrom": [[3.649, 0.000, 0.000], [0.000, 3.649, 0.000], [0.000, 0.000, 8.680]], "species": ["Ba", "Sc", "Sc", "Au"], "fractional_positions": [[0.000, 0.000, 0.000], [0.000, 0.000, 0.422], [0.500, 0.500, 0.648], [0.500, 0.500, 0.282]], "formation_energy_mev_per_atom": -228, "magmom_total_mub_per_cell": 1.55}

# 7
{"formula": "Ba2ScAu", "functional": "GGA-PBE", "state": "relaxed", "lattice_angstrom": [[0.000, 4.150, 4.150], [4.150, 0.000, 4.150], [4.150, 4.150, 0.000]], "species": ["Ba", "Ba", "Sc", "Au"], "fractional_positions": [[0.250, 0.250, 0.250], [0.750, 0.750, 0.750], [0.000, 0.000, 0.000], [0.500, 0.500, 0.500]], "formation_energy_mev_per_atom": 116, "magmom_total_mub_per_cell": 0.00}

# 8
{"formula": "BaSc2Au", "functional": "GGA-PBE", "state": "relaxed", "lattice_angstrom": [[3.815, 0.000, 0.000], [0.000, 5.300, 0.000], [0.000, 0.000, 5.347]], "species": ["Ba", "Sc", "Sc", "Au"], "fractional_positions": [[0.000, 0.000, 0.000], [0.000, 0.500, 0.500], [0.500, 0.500, 0.000], [0.500, 0.000, 0.500]], "formation_energy_mev_per_atom": 40, "magmom_total_mub_per_cell": 0.00}

# 9
{"formula": "BaSc2Au", "functional": "GGA-PBE", "state": "relaxed", "lattice_angstrom": [[-2.324, 2.324, 4.880], [2.324, -2.324, 4.880], [2.324, 2.324, -4.880]], "species": ["Ba", "Sc", "Sc", "Au"], "fractional_positions": [[0.000, 0.000, 0.000], [0.250, 0.750, 0.500], [0.500, 0.500, 0.000], [0.750, 0.250, 0.500]], "formation_energy_mev_per_atom": 102, "magmom_total_mub_per_cell": 0.00}

# 10
{"formula": "Ba2ScAu", "functional": "GGA-PBE", "state": "relaxed", "lattice_angstrom": [[3.811, 0.000, 0.000], [0.000, 3.811, 0.000], [0.000, 0.000, 10.033]], "species": ["Ba", "Ba", "Sc", "Au"], "fractional_positions": [[0.000, 0.000, 0.000], [0.500, 0.500, 0.375], [0.000, 0.000, 0.662], [0.500, 0.500, 0.764]], "formation_energy_mev_per_atom": -243, "magmom_total_mub_per_cell": 0.00}

# 11
{"formula": "BaScAu2", "functional": "GGA-PBE", "state": "relaxed", "lattice_angstrom": [[4.471, 0.000, 0.000], [0.000, 1.905, 6.712], [0.000, -1.905, 6.712]], "species": ["Ba", "Sc", "Au", "Au"], "fractional_positions": [[0.000, 0.000, 0.000], [0.500, 0.731, 0.731], [0.000, 0.243, 0.243], [0.500, 0.387, 0.387]], "formation_energy_mev_per_atom": -533, "magmom_total_mub_per_cell": 0.00}

# 12
{"formula": "BaSc2Au", "functional": "GGA-PBE", "state": "relaxed", "lattice_angstrom": [[3.258, -5.824, 0.000], [3.258, 5.824, 0.000], [-1.779, 0.000, 2.929]], "species": ["Ba", "Sc", "Sc", "Au"], "fractional_positions": [[0.000, 0.000, 0.000], [0.000, 0.500, 0.500], [0.500, 0.000, 0.500], [0.500, 0.500, 0.000]], "formation_energy_mev_per_atom": 114, "magmom_total_mub_per_cell": 0.02}

no.,relative energy among the computed polymorphs (meV per atom),D(E_F) (states/eV per cell)
1,351.4,5.0
2,463.1,7.9
3,211.1,9.1
4,331.2,4.2
5,252.5,6.0
6,0.0,5.4
7,359.0,6.1
8,268.2,4.9
9,330.8,7.5
10,0.0,5.6
11,131.1,4.5
12,342.4,6.4